Entry i
SiPt2Cl PBE optimized geometry; SG = F-43m, No. 216; magnetization = 0.0000 μB per atom
1.0
-1.7229 -0.7134 -4.1412
-4.2013 -1.6637 -0.4559
-3.3375 2.6563 -1.5595
Si Cl Pt
1 1 2
direct
0.2500 0.2500 0.2500 Si
0.5000 0.5000 0.5000 Cl
0.7500 0.7500 0.7500 Pt
0.0000 0.0000 0.0000 Pt



Entry ii
SiPt2Cl PBE optimized geometry; SG = Pm, No. 6; magnetization = 0.0000 μB per atom
1.0
4.6152 0.0000 0.0000
0.0000 3.4807 -0.0180
0.0000 1.8263 4.3869
Si Pt Cl
1 2 1
direct
0.0000 0.3139 0.4856 Si
0.0000 0.9977 0.1127 Pt
0.5000 0.4110 0.2090 Pt
0.5000 0.7774 0.6927 Cl



Entry iii
SiPt2Cl PBE optimized geometry; SG = Cm, No. 8; magnetization = 0.0000 μB per atom
1.0
-2.4778 -5.3766 -4.1105
-0.1382 -6.8854 -2.1249
-2.0573 0.0480 2.4605
Pt Si Cl
2 1 1
direct
0.0161 0.0161 0.1202 Pt
0.8361 0.8361 0.5059 Pt
0.4535 0.4535 0.5599 Si
0.1943 0.1943 0.3140 Cl



Entry iv
SiPt2Cl PBE optimized geometry; SG = Imm2, No. 44; magnetization = 0.0000 μB per atom
1.0
7.3484 0.0689 0.0092
5.6793 4.6636 -0.0092
-6.2580 -3.0706 2.3266
Cl Pt Si
1 2 1
direct
0.2778 0.7778 0.5000 Cl
0.6696 0.1696 0.5000 Pt
0.0240 0.0240 0.0000 Pt
0.5286 0.5286 0.0000 Si



Compare the structures above. Which one is the least stable? entry i is.